Entry 1:
The following is a DFT calculation (GGA-PBE) of an optimized crystal structure of Hg12Sb3Cl5.

Results
Fermi-level density of states ... 41.32 states/eV per cell

Cell lengths 15.1429, 15.1429, 15.1429 Å; angles 109.47, 109.47, 109.47 degrees
Element x y z (fractional)
Hg  0.0646  0.2372  0.1337
Hg  0.0646  0.3275  0.9309
Hg  0.0691  0.6337  0.3965
Hg  0.0691  0.9354  0.6725
Hg  0.1035  0.7372  0.6725
Hg  0.1035  0.8663  0.4309
Hg  0.1337  0.0646  0.2372
Hg  0.1337  0.5691  0.8965
Hg  0.1725  0.2372  0.6035
Hg  0.1725  0.4354  0.5691
Hg  0.2372  0.1337  0.0646
Hg  0.2372  0.6035  0.1725
Hg  0.2628  0.3275  0.8965
Hg  0.2628  0.4354  0.3663
Hg  0.3275  0.8965  0.2628
Hg  0.3275  0.9309  0.0646
Hg  0.3663  0.2628  0.4354
Hg  0.3663  0.6035  0.9309
Hg  0.3965  0.0691  0.6337
Hg  0.3965  0.8275  0.7628
Hg  0.4309  0.1035  0.8663
Hg  0.4309  0.8275  0.5646
Hg  0.4354  0.3663  0.2628
Hg  0.4354  0.5691  0.1725
Hg  0.5646  0.4309  0.8275
Hg  0.5646  0.6337  0.7372
Hg  0.5691  0.1725  0.4354
Hg  0.5691  0.8965  0.1337
Hg  0.6035  0.1725  0.2372
Hg  0.6035  0.9309  0.3663
Hg  0.6337  0.3965  0.0691
Hg  0.6337  0.7372  0.5646
Hg  0.6725  0.0691  0.9354
Hg  0.6725  0.1035  0.7372
Hg  0.7372  0.5646  0.6337
Hg  0.7372  0.6725  0.1035
Hg  0.7628  0.3965  0.8275
Hg  0.7628  0.8663  0.9354
Hg  0.8275  0.5646  0.4309
Hg  0.8275  0.7628  0.3965
Hg  0.8663  0.4309  0.1035
Hg  0.8663  0.9354  0.7628
Hg  0.8965  0.1337  0.5691
Hg  0.8965  0.2628  0.3275
Hg  0.9309  0.0646  0.3275
Hg  0.9309  0.3663  0.6035
Hg  0.9354  0.6725  0.0691
Hg  0.9354  0.7628  0.8663
Sb  0.1250  0.2500  0.3750
Sb  0.1250  0.3750  0.7500
Sb  0.2500  0.3750  0.1250
Sb  0.2500  0.8750  0.6250
Sb  0.3750  0.1250  0.2500
Sb  0.3750  0.7500  0.1250
Sb  0.6250  0.2500  0.8750
Sb  0.6250  0.8750  0.7500
Sb  0.7500  0.1250  0.3750
Sb  0.7500  0.6250  0.8750
Sb  0.8750  0.6250  0.2500
Sb  0.8750  0.7500  0.6250
Cl  0.0000  0.0000  0.0000
Cl  0.0000  0.0000  0.5000
Cl  0.0000  0.5000  0.0000
Cl  0.0000  0.5000  0.5000
Cl  0.1250  0.7500  0.8750
Cl  0.1250  0.8750  0.2500
Cl  0.2500  0.1250  0.8750
Cl  0.2500  0.6250  0.3750
Cl  0.3750  0.2500  0.6250
Cl  0.3750  0.6250  0.7500
Cl  0.5000  0.0000  0.0000
Cl  0.5000  0.0000  0.5000
Cl  0.5000  0.5000  0.0000
Cl  0.5000  0.5000  0.5000
Cl  0.6250  0.3750  0.2500
Cl  0.6250  0.7500  0.3750
Cl  0.7500  0.3750  0.6250
Cl  0.7500  0.8750  0.1250
Cl  0.8750  0.1250  0.7500
Cl  0.8750  0.2500  0.1250

---

Entry 2:
The following is a DFT calculation (GGA-PBE) of an optimized crystal structure of Hg2SbCl.

Results
Energy relative to the lowest polymorph listed for this composition ... 330 meV/atom
Fermi-level density of states ... 1.75 states/eV per cell

Cell lengths 5.9276, 5.9276, 5.9276 Å; angles 135.11, 135.11, 65.37 degrees
Element x y z (fractional)
Hg  0.0000  0.0000  0.0000
Hg  0.7500  0.2500  0.5000
Sb  0.2500  0.7500  0.5000
Cl  0.5000  0.5000  0.0000

---

Entry 3:
The following is a DFT calculation (GGA-PBE) of an optimized crystal structure of Hg2SbCl.

Results
Energy relative to the lowest polymorph listed for this composition ... 258 meV/atom
Fermi-level density of states ... 1.60 states/eV per cell

Cell lengths 3.3144, 5.1942, 5.9533 Å; angles 90.00, 90.00, 90.00 degrees
Element x y z (fractional)
Hg  0.0000  0.0000  0.0000
Hg  0.5000  0.5000  0.0000
Sb  0.0000  0.5000  0.5000
Cl  0.5000  0.0000  0.5000

---

Entry 4:
The following is a DFT calculation (GGA-PBE) of an optimized crystal structure of HgSb2Cl.

Results
Energy relative to the lowest polymorph listed for this composition ... 122 meV/atom
Fermi-level density of states ... 2.41 states/eV per cell

Cell lengths 5.2577, 5.2577, 5.2577 Å; angles 60.00, 60.00, 60.00 degrees
Element x y z (fractional)
Hg  0.0000  0.0000  0.0000
Sb  0.5000  0.5000  0.5000
Sb  0.7500  0.7500  0.7500
Cl  0.2500  0.2500  0.2500

---

Entry 5:
The following is a DFT calculation (GGA-PBE) of an optimized crystal structure of HgSbCl2.

Results
Energy relative to the lowest polymorph listed for this composition ... 441 meV/atom
Fermi-level density of states ... 2.98 states/eV per cell

Cell lengths 4.6599, 4.6599, 4.4360 Å; angles 90.00, 90.00, 90.00 degrees
Element x y z (fractional)
Hg  0.0000  0.0000  0.0000
Sb  0.5000  0.5000  0.0000
Cl  0.0000  0.5000  0.5000
Cl  0.5000  0.0000  0.5000

---

Entry 6:
The following is a DFT calculation (GGA-PBE) of an optimized crystal structure of Hg4Sb2Cl3.

Results
Energy relative to the lowest polymorph listed for this composition ... 43 meV/atom
Fermi-level density of states ... 7.59 states/eV per cell

Cell lengths 8.3658, 8.3658, 8.3013 Å; angles 102.03, 102.03, 94.78 degrees
Element x y z (fractional)
Hg  0.0730  0.7393  0.9491
Hg  0.2607  0.9270  0.5509
Hg  0.3142  0.3741  0.4755
Hg  0.3741  0.3142  0.9755
Hg  0.6259  0.6858  0.0245
Hg  0.6858  0.6259  0.5245
Hg  0.7393  0.0730  0.4491
Hg  0.9270  0.2607  0.0509
Sb  0.1996  0.4929  0.1877
Sb  0.4929  0.1996  0.6877
Sb  0.5071  0.8004  0.3123
Sb  0.8004  0.5071  0.8123
Cl  0.0120  0.2385  0.6122
Cl  0.2385  0.0120  0.1122
Cl  0.3136  0.6864  0.7500
Cl  0.6864  0.3136  0.2500
Cl  0.7615  0.9880  0.8878
Cl  0.9880  0.7615  0.3878

---

Entry 7:
The following is a DFT calculation (GGA-PBE) of an optimized crystal structure of Hg3SbCl2.

Results
Fermi-level density of states ... 4.45 states/eV per cell

Cell lengths 7.3471, 7.3471, 9.2614 Å; angles 90.00, 90.00, 62.54 degrees
Element x y z (fractional)
Hg  0.1640  0.8360  0.5000
Hg  0.3053  0.4082  0.8485
Hg  0.4082  0.3053  0.3485
Hg  0.5918  0.6947  0.8485
Hg  0.6947  0.5918  0.3485
Hg  0.8360  0.1640  0.0000
Sb  0.4970  0.5030  0.6000
Sb  0.5030  0.4970  0.1000
Cl  0.1075  0.1847  0.3795
Cl  0.1847  0.1075  0.8795
Cl  0.8153  0.8925  0.3795
Cl  0.8925  0.8153  0.8795

---

Entry 8:
The following is a DFT calculation (GGA-PBE) of an optimized crystal structure of HgSb3Cl.

Results
Energy relative to the lowest polymorph listed for this composition ... 40 meV/atom
Fermi-level density of states ... 5.51 states/eV per cell

Cell lengths 5.4318, 5.4318, 5.4318 Å; angles 90.00, 90.00, 90.00 degrees
Element x y z (fractional)
Hg  0.0000  0.0000  0.0000
Sb  0.0000  0.5000  0.5000
Sb  0.5000  0.0000  0.5000
Sb  0.5000  0.5000  0.0000
Cl  0.5000  0.5000  0.5000

---

Entry 9:
The following is a DFT calculation (GGA-PBE) of an optimized crystal structure of Hg2SbCl.

Results
Energy relative to the lowest polymorph listed for this composition ... 105 meV/atom
Fermi-level density of states ... 1.36 states/eV per cell

Cell lengths 4.6127, 3.9515, 5.8795 Å; angles 90.00, 92.69, 90.00 degrees
Element x y z (fractional)
Hg  0.0000  0.0000  0.0000
Hg  0.5000  0.5000  0.5000
Sb  0.0000  0.0000  0.5000
Cl  0.5000  0.5000  0.0000

---

Entry 10:
The following is a DFT calculation (GGA-PBE) of an optimized crystal structure of HgSbCl.

Results
Energy relative to the lowest polymorph listed for this composition ... 302 meV/atom
Fermi-level density of states ... 1.29 states/eV per cell

Cell lengths 5.3816, 5.3816, 3.1802 Å; angles 90.00, 90.00, 120.00 degrees
Element x y z (fractional)
Hg  0.0000  0.0000  0.0000
Sb  0.6667  0.3333  0.0476
Cl  0.3333  0.6667  0.0965

---

Entry 11:
The following is a DFT calculation (GGA-PBE) of an optimized crystal structure of Hg2SbCl.

Results
Energy relative to the lowest polymorph listed for this composition ... 0 meV/atom

Cell lengths 8.5767, 7.6463, 9.5882 Å; angles 90.00, 115.03, 90.00 degrees
Element x y z (fractional)
Hg  0.9999  0.0017  0.2503
Hg  0.9999  0.4983  0.7503
Hg  0.0001  0.5017  0.2497
Hg  0.0001  0.9983  0.7497
Hg  0.4307  0.2490  0.8752
Hg  0.4307  0.2510  0.3752
Hg  0.5693  0.7490  0.6248
Hg  0.5693  0.7510  0.1248
Sb  0.1754  0.2481  0.9673
Sb  0.1754  0.2519  0.4673
Sb  0.8246  0.7481  0.5327
Sb  0.8246  0.7519  0.0327
Cl  0.3203  0.7500  0.1865
Cl  0.3203  0.7500  0.6865
Cl  0.6797  0.2500  0.3135
Cl  0.6797  0.2500  0.8135

---

Entry 12:
The following is a DFT calculation (GGA-PBE) of an optimized crystal structure of Hg3SbCl.

Results
Energy relative to the lowest polymorph listed for this composition ... 0 meV/atom

Cell lengths 11.1999, 11.1999, 11.1999 Å; angles 108.75, 108.75, 108.75 degrees
Element x y z (fractional)
Hg  0.0674  0.6234  0.3632
Hg  0.0801  0.8284  0.7197
Hg  0.1716  0.2803  0.9199
Hg  0.2460  0.6061  0.2482
Hg  0.2482  0.2460  0.6061
Hg  0.2803  0.9199  0.1716
Hg  0.3632  0.0674  0.6234
Hg  0.3766  0.6368  0.9326
Hg  0.3939  0.7518  0.7540
Hg  0.6061  0.2482  0.2460
Hg  0.6234  0.3632  0.0674
Hg  0.6368  0.9326  0.3766
Hg  0.7197  0.0801  0.8284
Hg  0.7518  0.7540  0.3939
Hg  0.7540  0.3939  0.7518
Hg  0.8284  0.7197  0.0801
Hg  0.9199  0.1716  0.2803
Hg  0.9326  0.3766  0.6368
Sb  0.1271  0.4091  0.5283
Sb  0.4091  0.5283  0.1271
Sb  0.4717  0.8729  0.5909
Sb  0.5283  0.1271  0.4091
Sb  0.5909  0.4717  0.8729
Sb  0.8729  0.5909  0.4717
Cl  0.0481  0.9342  0.2866
Cl  0.0658  0.7134  0.9519
Cl  0.2866  0.0481  0.9342
Cl  0.7134  0.9519  0.0658
Cl  0.9342  0.2866  0.0481
Cl  0.9519  0.0658  0.7134

---

Entry 13:
The following is a DFT calculation (GGA-PBE) of an optimized crystal structure of Hg2Sb2Cl.

Results
Energy relative to the lowest polymorph listed for this composition ... 25 meV/atom
Fermi-level density of states ... 3.66 states/eV per cell

Cell lengths 8.3515, 8.3515, 8.3515 Å; angles 150.09, 150.09, 42.81 degrees
Element x y z (fractional)
Hg  0.0897  0.0897  0.0000
Hg  0.9103  0.9103  0.0000
Sb  0.2500  0.7500  0.5000
Sb  0.7500  0.2500  0.5000
Cl  0.5000  0.5000  0.0000

---

Entry 14:
The following is a DFT calculation (GGA-PBE) of an optimized crystal structure of Hg2SbCl.

Results
Energy relative to the lowest polymorph listed for this composition ... 166 meV/atom
Fermi-level density of states ... 1.03 states/eV per cell

Cell lengths 3.3592, 5.9243, 5.4933 Å; angles 90.00, 99.97, 90.00 degrees
Element x y z (fractional)
Hg  0.1908  0.0000  0.2562
Hg  0.8092  0.0000  0.7438
Sb  0.5000  0.5000  0.5000
Cl  0.5000  0.5000  0.0000

---

Entry 15:
The following is a DFT calculation (GGA-PBE) of an optimized crystal structure of HgSbCl.

Results
Energy relative to the lowest polymorph listed for this composition ... 0 meV/atom

Cell lengths 4.0731, 6.9060, 8.3590 Å; angles 104.79, 104.09, 107.08 degrees
Element x y z (fractional)
Hg  0.0413  0.2022  0.3805
Hg  0.9587  0.7978  0.6195
Sb  0.2791  0.1161  0.9427
Sb  0.7209  0.8839  0.0573
Cl  0.2655  0.6506  0.3792
Cl  0.7345  0.3494  0.6208

---

Entry 16:
The following is a DFT calculation (GGA-PBE) of an optimized crystal structure of Hg12Sb5Cl3.

Results
Fermi-level density of states ... 40.03 states/eV per cell

Cell lengths 15.3117, 15.3117, 15.3117 Å; angles 109.47, 109.47, 109.47 degrees
Element x y z (fractional)
Hg  0.0322  0.2151  0.0861
Hg  0.0322  0.3171  0.9460
Hg  0.0540  0.5861  0.3711
Hg  0.0540  0.9678  0.6829
Hg  0.0861  0.0322  0.2151
Hg  0.0861  0.5540  0.8711
Hg  0.1289  0.7151  0.6829
Hg  0.1289  0.9139  0.4460
Hg  0.1829  0.2151  0.6289
Hg  0.1829  0.4678  0.5540
Hg  0.2151  0.0861  0.0322
Hg  0.2151  0.6289  0.1829
Hg  0.2849  0.3171  0.8711
Hg  0.2849  0.4678  0.4139
Hg  0.3171  0.8711  0.2849
Hg  0.3171  0.9460  0.0322
Hg  0.3711  0.0540  0.5861
Hg  0.3711  0.8171  0.7849
Hg  0.4139  0.2849  0.4678
Hg  0.4139  0.6289  0.9460
Hg  0.4460  0.1289  0.9139
Hg  0.4460  0.8171  0.5322
Hg  0.4678  0.4139  0.2849
Hg  0.4678  0.5540  0.1829
Hg  0.5322  0.4460  0.8171
Hg  0.5322  0.5861  0.7151
Hg  0.5540  0.1829  0.4678
Hg  0.5540  0.8711  0.0861
Hg  0.5861  0.3711  0.0540
Hg  0.5861  0.7151  0.5322
Hg  0.6289  0.1829  0.2151
Hg  0.6289  0.9460  0.4139
Hg  0.6829  0.0540  0.9678
Hg  0.6829  0.1289  0.7151
Hg  0.7151  0.5322  0.5861
Hg  0.7151  0.6829  0.1289
Hg  0.7849  0.3711  0.8171
Hg  0.7849  0.9139  0.9678
Hg  0.8171  0.5322  0.4460
Hg  0.8171  0.7849  0.3711
Hg  0.8711  0.0861  0.5540
Hg  0.8711  0.2849  0.3171
Hg  0.9139  0.4460  0.1289
Hg  0.9139  0.9678  0.7849
Hg  0.9460  0.0322  0.3171
Hg  0.9460  0.4139  0.6289
Hg  0.9678  0.6829  0.0540
Hg  0.9678  0.7849  0.9139
Sb  0.0000  0.0000  0.0000
Sb  0.0000  0.0000  0.5000
Sb  0.0000  0.5000  0.0000
Sb  0.0000  0.5000  0.5000
Sb  0.1250  0.7500  0.8750
Sb  0.1250  0.8750  0.2500
Sb  0.2500  0.1250  0.8750
Sb  0.2500  0.6250  0.3750
Sb  0.3750  0.2500  0.6250
Sb  0.3750  0.6250  0.7500
Sb  0.5000  0.0000  0.0000
Sb  0.5000  0.0000  0.5000
Sb  0.5000  0.5000  0.0000
Sb  0.5000  0.5000  0.5000
Sb  0.6250  0.3750  0.2500
Sb  0.6250  0.7500  0.3750
Sb  0.7500  0.3750  0.6250
Sb  0.7500  0.8750  0.1250
Sb  0.8750  0.1250  0.7500
Sb  0.8750  0.2500  0.1250
Cl  0.1250  0.2500  0.3750
Cl  0.1250  0.3750  0.7500
Cl  0.2500  0.3750  0.1250
Cl  0.2500  0.8750  0.6250
Cl  0.3750  0.1250  0.2500
Cl  0.3750  0.7500  0.1250
Cl  0.6250  0.2500  0.8750
Cl  0.6250  0.8750  0.7500
Cl  0.7500  0.1250  0.3750
Cl  0.7500  0.6250  0.8750
Cl  0.8750  0.6250  0.2500
Cl  0.8750  0.7500  0.6250

---

Entry 17:
The following is a DFT calculation (GGA-PBE) of an optimized crystal structure of HgSb3Cl.

Results
Energy relative to the lowest polymorph listed for this composition ... 0 meV/atom
Fermi-level density of states ... 4.46 states/eV per cell

Cell lengths 5.6080, 5.6080, 5.6080 Å; angles 90.00, 90.00, 90.00 degrees
Element x y z (fractional)
Hg  0.0000  0.0000  0.0000
Sb  0.0000  0.0000  0.5000
Sb  0.0000  0.5000  0.0000
Sb  0.5000  0.0000  0.0000
Cl  0.5000  0.5000  0.5000

---

Number 1: total DFT energy (no corrections) -1.3318 eV per atom, formation energy (no corrections) -71 meV per atom. Number 2: total DFT energy (no corrections) -1.5695 eV per atom, formation energy (no corrections) 74 meV per atom. Number 3: total DFT energy (no corrections) -1.6419 eV per atom, formation energy (no corrections) 1 meV per atom. Number 4: total DFT energy (no corrections) -2.6192 eV per atom, formation energy (no corrections) -21 meV per atom. Number 5: total DFT energy (no corrections) -2.0472 eV per atom, formation energy (no corrections) -18 meV per atom. Number 6: total DFT energy (no corrections) -1.9456 eV per atom, formation energy (no corrections) -280 meV per atom. Number 7: total DFT energy (no corrections) -1.7060 eV per atom, formation energy (no corrections) -252 meV per atom. Number 8: total DFT energy (no corrections) -2.1371 eV per atom, formation energy (no corrections) 766 meV per atom. Number 9: total DFT energy (no corrections) -1.7940 eV per atom, formation energy (no corrections) -151 meV per atom. Number 10: total DFT energy (no corrections) -2.1178 eV per atom, formation energy (no corrections) -27 meV per atom. Number 11: total DFT energy (no corrections) -1.8995 eV per atom, formation energy (no corrections) -256 meV per atom. Number 12: total DFT energy (no corrections) -1.5356 eV per atom, formation energy (no corrections) -161 meV per atom. Number 13: total DFT energy (no corrections) -2.0955 eV per atom, formation energy (no corrections) 43 meV per atom. Number 14: total DFT energy (no corrections) -1.7333 eV per atom, formation energy (no corrections) -90 meV per atom. Number 15: total DFT energy (no corrections) -2.4199 eV per atom, formation energy (no corrections) -330 meV per atom. Number 16: total DFT energy (no corrections) -1.4597 eV per atom, formation energy (no corrections) 29 meV per atom. Number 17: total DFT energy (no corrections) -2.1770 eV per atom, formation energy (no corrections) 726 meV per atom.